No. 1
This record from the Alexandria database describes an optimized crystal structure of K3PF6. The functional is PBE.

a b c (Å): 6.721 6.721 6.716
angles (deg): 77.11 77.11 102.68
Element x y z (fractional)
F 0.783 0.062 0.217
F 0.216 0.216 0.062
K 0.000 0.500 0.000
K 0.000 0.000 0.500
F 0.784 0.784 0.938
F 0.217 0.938 0.783
K 0.500 0.000 0.000
P 0.000 0.000 0.000
F 0.062 0.783 0.217
F 0.938 0.217 0.783

Output
- ΔE_f (raw): -2.40 eV/atom
- E: -44.0 eV per formula unit
- Crystal system: monoclinic

No. 2
This record from the Alexandria database describes an optimized crystal structure of Ti2CrHPd. The functional is PBE.

a b c (Å): 4.287 4.287 3.335
angles (deg): 90.00 90.00 90.00
Element x y z (fractional)
H 0.000 0.000 0.000
Pd 0.500 0.500 0.500
Ti 0.000 0.500 0.000
Ti 0.500 0.000 0.000
Cr 0.000 0.000 0.500

Output
- E: -35.3 eV per formula unit
- Crystal system: tetragonal

No. 3
This record from the Alexandria database describes an optimized crystal structure of MgFeP2S. The functional is PBE.

a b c (Å): 4.755 4.755 4.689
angles (deg): 90.00 90.00 90.00
Each line ends with the local moment (μB).
Element x y z (fractional)
P 0.500 0.000 0.000  -0.11
P 0.000 0.500 0.000  -0.11
Mg 0.000 0.000 0.000  0.00
Fe 0.500 0.500 0.500  3.33
S 0.000 0.000 0.500  -0.10

Output
- ΔE_f (raw): 1.10 eV/atom
- E: -19.5 eV per formula unit
- Crystal system: tetragonal